A) Compound: RbIr2N2
Source: Alexandria
Functional: GGA-PBE
Structure: optimized geometry

Output
- Symmetry: P4/mbm
- Crystal system: tetragonal

a b c (Å): 7.8658 7.8658 2.7736
angles (deg): 90.00 90.00 90.00
Fractional coordinates of all 10 atoms:
Ir: 0.1135 0.6135 0.5000
Ir: 0.8865 0.3865 0.5000
Ir: 0.3865 0.1135 0.5000
Ir: 0.6135 0.8865 0.5000
N: 0.3958 0.8958 0.0000
N: 0.1042 0.3958 0.0000
N: 0.6042 0.1042 0.0000
N: 0.8958 0.6042 0.0000
Rb: 0.0000 0.0000 0.0000
Rb: 0.5000 0.5000 0.0000

***

B) Compound: RbIr2N2
Source: Alexandria
Functional: GGA-PBE
Structure: optimized geometry

Output
- Symmetry: I4/mmm
- Crystal system: tetragonal

a b c (Å): 3.7999 3.7999 6.7150
angles (deg): 73.56 73.56 90.00
Fractional coordinates of all 5 atoms:
N: 0.3280 0.3280 0.3439
N: 0.6720 0.6720 0.6561
Ir: 0.2500 0.7500 0.5000
Ir: 0.7500 0.2500 0.5000
Rb: 0.0000 0.0000 0.0000

***

Which of them is the most stable, and which is the least stable? B) and A), in that order.

***

A) Compound: RbTeIrN2
Source: Alexandria
Functional: GGA-PBE
Structure: optimized geometry

Output
- Symmetry: P4/mmm
- Crystal system: tetragonal

a b c (Å): 4.3161 4.3161 7.1206
angles (deg): 90.00 90.00 90.00
Each line ends with the local moment (μB).
Fractional coordinates of all 5 atoms:
Te: 0.0000 0.0000 0.5000  0.13
Ir: 0.5000 0.5000 0.5000  1.05
N: 0.5000 0.0000 0.0000  1.14
N: 0.0000 0.5000 0.0000  1.14
Rb: 0.0000 0.0000 0.0000  0.10

***

B) Compound: RbTeIrN2
Source: Alexandria
Functional: GGA-PBE
Structure: optimized geometry

Output
- Symmetry: P4/mmm
- Crystal system: tetragonal

a b c (Å): 4.1302 4.1302 5.6828
angles (deg): 90.00 90.00 90.00
Fractional coordinates of all 5 atoms:
Ir: 0.0000 0.0000 0.0000
N: 0.0000 0.5000 0.0000
N: 0.5000 0.0000 0.0000
Te: 0.0000 0.0000 0.5000
Rb: 0.5000 0.5000 0.5000

***

Which of them is the most stable, and which is the least stable? B) and A), in that order.

***

A) Compound: ReIrN2
Source: Alexandria
Functional: GGA-PBE
Structure: optimized geometry

Output
- Symmetry: Fm-3m
- Crystal system: cubic

a b c (Å): 3.8608 3.8608 3.8608
angles (deg): 60.00 60.00 60.00
Fractional coordinates of all 4 atoms:
Re: 0.0000 0.0000 0.0000
Ir: 0.5000 0.5000 0.5000
N: 0.2500 0.2500 0.2500
N: 0.7500 0.7500 0.7500

***

B) Compound: ReIrN2
Source: Alexandria
Functional: GGA-PBE
Structure: optimized geometry

Output
- Symmetry: R-3m
- Crystal system: trigonal

a b c (Å): 6.7973 6.7973 6.7973
angles (deg): 23.75 23.75 23.75
Each line ends with the local moment (μB).
Fractional coordinates of all 4 atoms:
Re: 0.5000 0.5000 0.5000  0.00
Ir: 0.0000 0.0000 0.0000  -0.10
N: 0.1001 0.1001 0.1001  0.00
N: 0.8999 0.8999 0.8999  0.00

***

Which of them is the most stable, and which is the least stable? B) and A), in that order.

***

A) Compound: TaReIrN2
Source: Alexandria
Functional: GGA-PBE
Structure: optimized geometry

Output
- Symmetry: P4/mmm
- Crystal system: tetragonal

a b c (Å): 3.8457 5.6926 3.8457
angles (deg): 90.00 90.00 90.00
Fractional coordinates of all 5 atoms:
N: 0.0000 0.0000 0.5000
N: 0.5000 0.0000 0.0000
Ir: 0.5000 0.5000 0.5000
Re: 0.0000 0.5000 0.0000
Ta: 0.0000 0.0000 0.0000

***

B) Compound: TaReIrN2
Source: Alexandria
Functional: GGA-PBE
Structure: optimized geometry

Output
- Symmetry: P4/mmm
- Crystal system: tetragonal

a b c (Å): 3.7746 5.4190 3.7746
angles (deg): 90.00 90.00 90.00
Each line ends with the local moment (μB).
Fractional coordinates of all 5 atoms:
Ir: 0.0000 0.5000 0.0000  -0.02
N: 0.5000 0.0000 0.0000  -0.08
N: 0.0000 0.0000 0.5000  -0.10
Ta: 0.5000 0.5000 0.5000  0.20
Re: 0.0000 0.0000 0.0000  0.06

***

Which of them is the most stable, and which is the least stable? B) and A), in that order.